Entry 1
# Mg2MnIrO6

An optimized crystal structure of Mg2MnIrO6 (PBE+U, the Alexandria database).

Unit cell a=5.174 b=5.173 c=5.513 alpha=62.03 beta=62.01 gamma=59.99
Element x y z (fractional)
Mg: 0.524 0.524 0.429
Mg: 0.020 0.020 0.939
Mn: 0.813 0.813 0.561
Ir: 0.320 0.320 0.041
O: 0.596 0.212 0.253
O: 0.212 0.939 0.253
O: 0.939 0.596 0.253
O: 0.423 0.705 0.762
O: 0.705 0.110 0.762
O: 0.110 0.423 0.762

Calculated values
* total moment: 2.0 μB per formula unit

=====

Entry 2
# Mg2MnIrO6

An optimized crystal structure of Mg2MnIrO6 (PBE+U, the Alexandria database).

Unit cell a=5.259 b=5.084 c=9.254 alpha=57.99 beta=90.00 gamma=90.00
Element x y z (fractional)
Mg: 0.943 0.215 0.766
Mg: 0.443 0.785 0.734
Mg: 0.557 0.215 0.266
Mg: 0.057 0.785 0.234
Mn: 0.500 0.000 0.000
Mn: 0.000 0.000 0.500
Ir: 0.500 0.500 0.500
Ir: 0.000 0.500 0.000
O: 0.417 0.588 0.270
O: 0.188 0.879 0.942
O: 0.194 0.216 0.592
O: 0.694 0.784 0.908
O: 0.688 0.121 0.558
O: 0.917 0.412 0.230
O: 0.083 0.588 0.770
O: 0.312 0.879 0.442
O: 0.306 0.216 0.092
O: 0.812 0.121 0.058
O: 0.806 0.784 0.408
O: 0.583 0.412 0.730

Calculated values
* total moment: 2.0 μB per formula unit

=====

It turns out entry 1 is the most stable, with the second structure 26 meV per atom higher.